# 1
Below is Na2LaCl4 after structural relaxation, with properties calculated at the GGA-PBE level.

The value obtained for the uncorrected energy is -4.03 eV/atom. The volume comes out at 28.9 A^3/atom.

a = 7.407 Å, b = 8.501 Å, c = 8.501 Å
α = 61.17°, β = 64.17°, γ = 64.17°
Each line ends with the local moment (μB).
Element x y z (fractional)
La (0.500, 0.500, 0.000)  0.22
Na (0.500, 0.000, 0.000)  0.00
Cl (0.271, 0.741, 0.716)  0.00
La (0.000, 0.500, 0.000)  0.22
Cl (0.729, 0.259, 0.284)  0.00
Cl (0.767, 0.727, 0.227)  0.00
Cl (0.271, 0.216, 0.241)  0.00
Cl (0.233, 0.273, 0.773)  0.00
Cl (0.729, 0.784, 0.759)  0.00
Na (0.871, 0.879, 0.379)  0.00
Cl (0.279, 0.727, 0.227)  0.00
Na (0.129, 0.121, 0.621)  0.00
Cl (0.721, 0.273, 0.773)  0.00
Na (0.500, 0.500, 0.500)  0.00

=====

# 2
Below is Er3Zn2Ga7 after structural relaxation, with properties calculated at the GGA-PBE level.

The calculation puts the formation energy at -0.46 eV per atom. The volume comes out at 19.3 A^3/atom.

a = 4.087 Å, b = 4.168 Å, c = 13.732 Å
α = 98.73°, β = 90.00°, γ = 90.00°
Element x y z (fractional)
Zn (0.000, 0.140, 0.280)
Ga (0.000, 0.000, 0.000)
Ga (0.000, 0.228, 0.456)
Er (0.500, 0.323, 0.645)
Ga (0.000, 0.772, 0.544)
Ga (0.500, 0.082, 0.165)
Ga (0.000, 0.416, 0.832)
Zn (0.000, 0.860, 0.720)
Er (0.500, 0.677, 0.355)
Ga (0.500, 0.918, 0.835)
Er (0.500, 0.500, 0.000)
Ga (0.000, 0.584, 0.168)

=====

> What is the formula in the first record?

Na2LaCl4

=====

> Which value of volume does entry 1 give?

28.9 A^3/atom

=====

> Which formula does entry 2 have?

Er3Zn2Ga7

=====

Please write out number 1 again, unchanged.
Below is Na2LaCl4 after structural relaxation, with properties calculated at the GGA-PBE level.

The value obtained for the uncorrected energy is -4.03 eV/atom. The volume comes out at 28.9 A^3/atom.

a = 7.407 Å, b = 8.501 Å, c = 8.501 Å
α = 61.17°, β = 64.17°, γ = 64.17°
Each line ends with the local moment (μB).
Element x y z (fractional)
La (0.500, 0.500, 0.000)  0.22
Na (0.500, 0.000, 0.000)  0.00
Cl (0.271, 0.741, 0.716)  0.00
La (0.000, 0.500, 0.000)  0.22
Cl (0.729, 0.259, 0.284)  0.00
Cl (0.767, 0.727, 0.227)  0.00
Cl (0.271, 0.216, 0.241)  0.00
Cl (0.233, 0.273, 0.773)  0.00
Cl (0.729, 0.784, 0.759)  0.00
Na (0.871, 0.879, 0.379)  0.00
Cl (0.279, 0.727, 0.227)  0.00
Na (0.129, 0.121, 0.621)  0.00
Cl (0.721, 0.273, 0.773)  0.00
Na (0.500, 0.500, 0.500)  0.00